AlReS2N, optimized geometry, DFT PBE; total magnetization = 1.74 μB per formula unit; symmetry = P4/mmm (123); crystal system = tetragonal; ρ = 6.27 g cm⁻³; energy relative to the elements, uncorrected = 0.919 eV per atom; DOS at the Fermi energy = 0.63 states/eV per atom
1.0
4.687 0.000 0.000
0.000 4.687 0.000
0.000 0.000 3.513
Re S Al N
1 2 1 1
Cartesian
2.343 2.343 1.756
0.000 2.343 0.000
2.343 0.000 0.000
0.000 0.000 0.000
0.000 0.000 1.756

ScGa3Mo, optimized geometry, DFT PBE; total magnetization = 0.00 μB per formula unit; energy relative to the elements = 0.198 eV/atom; symmetry = Pm-3m (221); crystal system = cubic; ρ = 5.24 g cm⁻³; DOS at the Fermi energy = 0.82 states/eV per atom
1.0
-4.241 0.705 -2.148
-2.261 -1.285 4.041
0.019 4.577 1.466
Sc Mo Ga
1 1 3
Cartesian
-3.242 1.999 1.679
0.000 0.000 0.000
-1.131 -0.642 2.021
0.009 2.288 0.733
-2.120 0.353 -1.074

LiMg2TiBe, optimized geometry, DFT PBE; total magnetization = 1.78 μB per formula unit; energy relative to the elements = 1.013 eV/atom; symmetry = P4/mmm (123); crystal system = tetragonal; ρ = 1.39 g cm⁻³; DOS at the Fermi energy = 0.93 states/eV per atom
1.0
5.460 0.000 0.000
0.000 4.496 0.000
0.000 0.000 5.460
Be Mg Li Ti
1 2 1 1
Cartesian
0.000 2.248 0.000
0.000 0.000 2.730
2.730 0.000 0.000
2.730 2.248 2.730
0.000 0.000 0.000

Ac3Se3S, optimized geometry, DFT PBE; total magnetization = 0.00 μB per formula unit; symmetry = Imma (74); crystal system = orthorhombic; ρ = 6.45 g cm⁻³; energy relative to the elements, uncorrected = -1.944 eV per atom; DOS at the Fermi energy = 0.24 states/eV per atom
1.0
-0.329 -8.525 2.344
7.418 -4.641 1.306
2.371 -2.524 8.257
Ac Se S
6 6 2
Cartesian
1.782 -1.901 6.189
7.828 -9.516 4.481
3.956 -11.458 5.000
1.632 -6.174 7.426
5.504 -4.232 6.907
7.678 -13.789 5.718
2.965 -4.571 5.033
6.696 -6.859 5.690
2.763 -8.831 6.217
5.512 -5.597 1.562
1.577 -7.569 2.088
6.494 -11.119 6.874
1.727 -3.190 0.957
7.732 -12.500 10.950

La3Ce4PmTe8, optimized geometry, DFT PBE; total magnetization = 4.71 μB per formula unit; symmetry = R-3m (166); crystal system = trigonal; ρ = 6.79 g cm⁻³; energy relative to the elements, uncorrected = -1.458 eV per atom; DOS at the Fermi energy = 2.00 states/eV per atom
1.0
-3.715 1.104 -8.132
-6.018 -6.552 1.860
0.810 7.031 5.574
La Ce Pm Te
3 4 1 8
Cartesian
-4.866 -2.724 -3.136
-4.461 0.791 -0.350
-2.604 0.239 3.717
-1.857 0.552 -4.066
-1.452 4.067 -1.279
0.000 0.000 0.000
0.405 3.515 2.787
-3.009 -3.276 0.930
-5.453 -4.632 -0.606
-5.052 -1.154 2.151
-1.992 2.161 1.203
-7.330 -4.074 -4.715
-1.593 5.657 4.016
-6.931 -0.579 -1.902
-3.870 2.736 -2.850
-3.470 6.214 -0.093

Nd6Tc2Pb, optimized geometry, DFT PBE; total magnetization = 0.00 μB per formula unit; energy relative to the elements = -0.109 eV/atom; symmetry = Immm (71); crystal system = orthorhombic; ρ = 7.93 g cm⁻³; DOS at the Fermi energy = 1.05 states/eV per atom
1.0
8.319 0.326 -3.017
-4.595 7.270 -2.108
-0.299 -0.326 8.844
Nd Tc Pb
12 4 2
Cartesian
2.604 2.151 -0.326
0.821 5.119 4.044
4.219 5.445 -2.548
-0.793 1.825 6.267
-2.007 5.303 6.401
5.432 1.967 -2.683
2.851 5.630 0.870
0.574 1.641 2.848
-2.246 7.021 3.091
5.671 0.249 0.627
3.856 2.825 3.126
-0.431 4.445 0.593
2.105 2.704 5.536
1.321 4.566 -1.818
3.025 0.000 2.198
4.995 0.000 3.629
-2.447 3.472 3.368
0.000 0.000 0.000

> Which value of DOS at the Fermi energy does entry 2 give?

0.82 states/eV per atom